1.
MnTlZnAs2: optimized geometry, PBE-GGA.

CIF file:
```
data_MnTlZnAs2
_symmetry_space_group_name_H-M 'P 4/m m m'
_symmetry_Int_Tables_number 123
_symmetry_space_group_name_Hall '-P 4 2'
_cell_length_a 4.818
_cell_length_b 4.818
_cell_length_c 5.197
_cell_angle_alpha 90.00
_cell_angle_beta 90.00
_cell_angle_gamma 90.00
loop_
_atom_site_label
_atom_site_fract_x
_atom_site_fract_y
_atom_site_fract_z
Mn1 0.000 0.000 0.000
Tl1 0.500 0.500 0.000
Zn1 0.500 0.500 0.500
As1 0.000 0.500 0.500
```

crystal system: tetragonal

---

2.
KCrPb: optimized geometry, PBE-GGA.

CIF file:
```
data_KCrPb
_symmetry_space_group_name_H-M 'P 3 m 1'
_symmetry_Int_Tables_number 156
_cell_length_a 3.7099
_cell_length_b 3.7099
_cell_length_c 7.9717
_cell_angle_alpha 90.00
_cell_angle_beta 90.00
_cell_angle_gamma 120.00
loop_
_symmetry_equiv_pos_as_xyz
'x,y,z'
'-y,x-y,z'
'-x+y,-x,z'
'-y,-x,z'
'-x+y,y,z'
'x,x-y,z'
loop_
_atom_site_label
_atom_site_fract_x
_atom_site_fract_y
_atom_site_fract_z
K1 0.0000 0.0000 0.0000
Cr1 0.3333 0.6667 0.6201
Pb1 0.6667 0.3333 0.3706
```

crystal system: trigonal
distance to the lowest polymorph of the same formula: 0.1888 eV per atom

---

3.
Tb5Pt2Au2: optimized geometry, PBE-GGA.

CIF file:
```
data_Tb5Pt2Au2
_symmetry_space_group_name_H-M 'C m c e'
_symmetry_Int_Tables_number 64
_symmetry_space_group_name_Hall '-C 2ac 2'
_cell_length_a 15.284
_cell_length_b 7.465
_cell_length_c 7.806
_cell_angle_alpha 90.00
_cell_angle_beta 90.00
_cell_angle_gamma 90.00
loop_
_atom_site_label
_atom_site_fract_x
_atom_site_fract_y
_atom_site_fract_z
Tb1 0.000 0.000 0.000
Tb2 0.132 0.169 0.328
Pt1 0.000 0.131 0.633
Au1 0.206 0.000 0.000
```

crystal system: orthorhombic

---

| no. | size of the total moment (μB per formula unit) | formation energy (meV/atom) |
| --- | --- | --- |
| 1 | 0.30 | 1245 |
| 2 | 4.62 | 643 |
| 3 | 0.00 | -963 |